Entry 1:
The following is a PBE-GGA calculation of crystalline Cs2SBr5 at its relaxed geometry, from Alexandria.

Raw formation energy (eV per atom): -0.85

a b c (Å): 7.8720 7.8720 10.6654
angles (deg): 90.00 90.00 90.00
Closest atoms and distances in Å follow each position.
Space group I4mm (No. 107)
Asymmetric unit:
Cs 0.0000 0.5000 0.0000 [4 per cell]  10 Br 3.84-3.95
S 0.0000 0.0000 0.2606 [2 per cell]  4 Br 2.51
Br 0.0000 0.0000 0.5284 [2 per cell]  1 S 2.86
Br 0.2250 0.2250 0.2466 [8 per cell]  1 S 2.51

---

Entry 2:
The following is a PBE-GGA calculation of crystalline CsS3Br2 at its relaxed geometry, from Alexandria.

DOS at the Fermi energy (states/eV per cell): 0.0
Raw formation energy (eV per atom): -0.57

a b c (Å): 6.1486 7.1456 11.6644
angles (deg): 73.79 84.35 89.79
Closest atoms and distances in Å follow each position.
Space group P-1 (No. 2)
Asymmetric unit:
Cs 0.2346 0.1887 0.1198 [2 per cell]  6 Br 3.62-3.95
S 0.1420 0.2793 0.6676 [2 per cell]  1 S 2.02
S 0.2764 0.2962 0.4995 [2 per cell]  2 S 2.02-2.05
S 0.3320 0.0223 0.4814 [2 per cell]  2 S 2.05-2.16
Br 0.2306 0.7152 0.0547 [2 per cell]  1 Br 2.97
Br 0.4263 0.2899 0.7820 [2 per cell]  1 S 2.32

---

Entry 3:
The following is a PBE-GGA calculation of crystalline Cs5SBr4 at its relaxed geometry, from Alexandria.

DOS at the Fermi energy (states/eV per cell): 19.2
Raw formation energy (eV per atom): -1.49

a b c (Å): 11.6624 11.6624 7.3291
angles (deg): 90.00 90.00 90.00
Closest atoms and distances in Å follow each position.
Space group I4 (No. 79)
Asymmetric unit:
Cs 0.0000 0.0000 0.0000 [2 per cell]  2 S 3.66-3.67, 4 Br 3.68
Cs 0.0988 0.2976 0.5007 [8 per cell]  1 S 3.66, 5 Br 3.66-3.71
S 0.0000 0.0000 0.4997 [2 per cell]  6 Cs 3.66-3.67
Br 0.0992 0.2994 0.0008 [8 per cell]  6 Cs 3.66-3.71

---

Entry 4:
The following is a PBE-GGA calculation of crystalline Cs2SBr at its relaxed geometry, from Alexandria.

DOS at the Fermi energy (states/eV per cell): 36.1
Energy above the most stable polymorph in this dataset (eV per atom): 0.0480
Raw formation energy (eV per atom): -1.02

a b c (Å): 8.6782 8.6782 8.6782
angles (deg): 90.00 90.00 90.00
Closest atoms and distances in Å follow each position.
Space group Fm-3m (No. 225)
Asymmetric unit:
Cs 0.2500 0.2500 0.2500 [8 per cell]  4 S 3.76, 4 Br 3.76
S 0.0000 0.0000 0.0000 [4 per cell]  8 Cs 3.76
Br 0.0000 0.0000 0.5000 [4 per cell]  8 Cs 3.76

---

> The highest raw formation energy belongs to which entry?

CsS3Br2

---

> raw formation energy of number 4 (Cs2SBr)?

-1.02 eV per atom

---

> Which value of raw formation energy does entry 3 give?

-1.49 eV per atom